Here is a relaxed Sr2LaMn crystal from Alexandria. Energies are from GGA-PBEsol.

As for the crystal system: tetragonal. As for the energy relative to the elements: 1.3 eV per formula unit. For the relative energy among the computed polymorphs, the calculation gives 0 meV/atom. Its symmetry is P4mm (99). The density of states at the Fermi level is 4.1 states/eV per cell.

CIF file:
```
data_Sr2LaMn
_space_group_name_H-M_alt 'P 1'
_space_group_IT_number 1
_space_group_name_Hall 'P 1'
_cell_length_a 3.818
_cell_length_b 3.818
_cell_length_c 9.788
_cell_angle_alpha 90.00
_cell_angle_beta 90.00
_cell_angle_gamma 89.99
loop_
_atom_site_label
_atom_site_type_symbol
_atom_site_fract_x
_atom_site_fract_y
_atom_site_fract_z
Mn1 Mn 0.500 0.500 0.275
La1 La 0.000 0.000 0.428
Sr1 Sr 0.500 0.500 0.732
Sr2 Sr 0.000 0.000 0.065
```

Here is a relaxed HfTc2Mo crystal from Alexandria. Energies are from GGA-PBEsol.

As for the crystal system: cubic. As for the energy relative to the elements: -1.1 eV per formula unit. Its symmetry is Fm-3m (225). The density of states at the Fermi level is 1.1 states/eV per cell.

CIF file:
```
data_HfTc2Mo
_space_group_name_H-M_alt 'P 1'
_space_group_IT_number 1
_space_group_name_Hall 'P 1'
_cell_length_a 4.449
_cell_length_b 4.449
_cell_length_c 4.449
_cell_angle_alpha 60.00
_cell_angle_beta 60.00
_cell_angle_gamma 60.00
loop_
_atom_site_label
_atom_site_type_symbol
_atom_site_fract_x
_atom_site_fract_y
_atom_site_fract_z
Tc1 Tc 0.750 0.750 0.750
Tc2 Tc 0.250 0.250 0.250
Mo1 Mo 0.000 0.000 0.000
Hf1 Hf 0.500 0.500 0.500
```

Here is a relaxed Co2TePb crystal from Alexandria. Energies are from GGA-PBEsol.

As for the crystal system: cubic. Its symmetry is Fm-3m (225). The calculation puts the formation energy from raw total energies at 11.451 kcal/mol of atoms. The density of states at the Fermi level is 4.6 states/eV per cell.

CIF file:
```
data_Co2TePb
_space_group_name_H-M_alt 'P 1'
_space_group_IT_number 1
_space_group_name_Hall 'P 1'
_cell_length_a 4.583
_cell_length_b 4.583
_cell_length_c 4.583
_cell_angle_alpha 60.00
_cell_angle_beta 60.00
_cell_angle_gamma 60.00
loop_
_atom_site_label
_atom_site_type_symbol
_atom_site_fract_x
_atom_site_fract_y
_atom_site_fract_z
Co1 Co 0.250 0.250 0.250
Co2 Co 0.750 0.750 0.750
Pb1 Pb 0.000 0.000 0.000
Te1 Te 0.500 0.500 0.500
```

Here is a relaxed KBeBr3 crystal from Alexandria. Energies are from GGA-PBEsol.

As for the crystal system: cubic. Its symmetry is Pm-3m (221). The calculation puts the formation energy from raw total energies at -24.093 kcal/mol of atoms.

CIF file:
```
data_KBeBr3
_space_group_name_H-M_alt 'P 1'
_space_group_IT_number 1
_space_group_name_Hall 'P 1'
_cell_length_a 4.934
_cell_length_b 4.934
_cell_length_c 4.934
_cell_angle_alpha 90.00
_cell_angle_beta 90.00
_cell_angle_gamma 90.00
loop_
_atom_site_label
_atom_site_type_symbol
_atom_site_fract_x
_atom_site_fract_y
_atom_site_fract_z
Br1 Br 0.000 0.500 0.000
Br2 Br 0.500 0.000 0.000
Br3 Br 0.000 0.000 0.500
K1 K 0.500 0.500 0.500
Be1 Be 0.000 0.000 0.000
```

Here is a relaxed CrNi2Ru crystal from Alexandria. Energies are from GGA-PBEsol.

As for the crystal system: tetragonal. As for the energy relative to the elements: 0.5 eV per formula unit. Its symmetry is P4mm (99). The density of states at the Fermi level is 4.7 states/eV per cell.

CIF file:
```
data_CrNi2Ru
_space_group_name_H-M_alt 'P 1'
_space_group_IT_number 1
_space_group_name_Hall 'P 1'
_cell_length_a 2.943
_cell_length_b 2.943
_cell_length_c 5.263
_cell_angle_alpha 90.00
_cell_angle_beta 90.00
_cell_angle_gamma 90.00
loop_
_atom_site_label
_atom_site_type_symbol
_atom_site_fract_x
_atom_site_fract_y
_atom_site_fract_z
Ru1 Ru 0.000 0.000 0.506
Ni1 Ni 0.500 0.500 0.224
Ni2 Ni 0.000 0.000 0.005
Cr1 Cr 0.500 0.500 0.766
```

Here is a relaxed CoSi2Rh crystal from Alexandria. Energies are from GGA-PBEsol.

As for the crystal system: monoclinic. For the relative energy among the computed polymorphs, the calculation gives 7 meV/atom. Its symmetry is C2/m (12). The calculation puts the formation energy from raw total energies at -12.713 kcal/mol of atoms. The density of states at the Fermi level is 2.9 states/eV per cell.

CIF file:
```
data_CoSi2Rh
_space_group_name_H-M_alt 'P 1'
_space_group_IT_number 1
_space_group_name_Hall 'P 1'
_cell_length_a 2.759
_cell_length_b 3.982
_cell_length_c 4.738
_cell_angle_alpha 101.15
_cell_angle_beta 90.00
_cell_angle_gamma 110.26
loop_
_atom_site_label
_atom_site_type_symbol
_atom_site_fract_x
_atom_site_fract_y
_atom_site_fract_z
Si1 Si 0.255 0.509 0.271
Si2 Si 0.745 0.491 0.729
Co1 Co 0.000 0.000 0.500
Rh1 Rh 0.500 0.000 0.000
```

Here is a relaxed AlGe3Bi crystal from Alexandria. Energies are from GGA-PBEsol.

As for the crystal system: cubic. As for the energy relative to the elements: 2.3 eV per formula unit. Its symmetry is Pm-3m (221). The density of states at the Fermi level is 2.0 states/eV per cell.

CIF file:
```
data_AlGe3Bi
_space_group_name_H-M_alt 'P 1'
_space_group_IT_number 1
_space_group_name_Hall 'P 1'
_cell_length_a 4.888
_cell_length_b 4.888
_cell_length_c 4.888
_cell_angle_alpha 90.00
_cell_angle_beta 90.00
_cell_angle_gamma 90.00
loop_
_atom_site_label
_atom_site_type_symbol
_atom_site_fract_x
_atom_site_fract_y
_atom_site_fract_z
Bi1 Bi 0.500 0.500 0.500
Ge1 Ge 0.000 0.500 0.000
Ge2 Ge 0.000 0.000 0.500
Ge3 Ge 0.500 0.000 0.000
Al1 Al 0.000 0.000 0.000
```

Here is a relaxed GeAs2Pt crystal from Alexandria. Energies are from GGA-PBEsol.

As for the crystal system: tetragonal. As for the energy relative to the elements: -0.2 eV per formula unit. Its symmetry is I-42d (122). The density of states at the Fermi level is 3.3 states/eV per cell.

CIF file:
```
data_GeAs2Pt
_space_group_name_H-M_alt 'P 1'
_space_group_IT_number 1
_space_group_name_Hall 'P 1'
_cell_length_a 5.671
_cell_length_b 5.671
_cell_length_c 6.887
_cell_angle_alpha 114.31
_cell_angle_beta 114.31
_cell_angle_gamma 90.00
loop_
_atom_site_label
_atom_site_type_symbol
_atom_site_fract_x
_atom_site_fract_y
_atom_site_fract_z
Pt1 Pt 0.250 0.750 0.500
Pt2 Pt 0.000 0.000 0.000
As1 As 0.125 0.111 0.750
As2 As 0.889 0.375 0.250
As3 As 0.625 0.639 0.750
As4 As 0.361 0.875 0.250
Ge1 Ge 0.750 0.250 0.500
Ge2 Ge 0.500 0.500 0.000
```

Here is a relaxed CaCdIn2 crystal from Alexandria. Energies are from GGA-PBEsol.

As for the crystal system: orthorhombic. As for the energy relative to the elements: -1.1 eV per formula unit. Its symmetry is Pmm2 (25). The density of states at the Fermi level is 2.0 states/eV per cell.

CIF file:
```
data_CaCdIn2
_space_group_name_H-M_alt 'P 1'
_space_group_IT_number 1
_space_group_name_Hall 'P 1'
_cell_length_a 3.412
_cell_length_b 4.970
_cell_length_c 5.976
_cell_angle_alpha 90.00
_cell_angle_beta 90.00
_cell_angle_gamma 90.00
loop_
_atom_site_label
_atom_site_type_symbol
_atom_site_fract_x
_atom_site_fract_y
_atom_site_fract_z
In1 In 0.500 0.500 0.738
In2 In 0.500 0.000 0.006
Ca1 Ca 0.000 0.000 0.501
Cd1 Cd 0.500 0.500 0.255
```

Here is a relaxed Sc5As3 crystal from Alexandria. Energies are from GGA-PBEsol.

As for the crystal system: hexagonal. As for the energy relative to the elements: -9.4 eV per formula unit. For the relative energy among the computed polymorphs, the calculation gives 0 meV/atom. Its symmetry is P6_3/mcm (193). The density of states at the Fermi level is 14.3 states/eV per cell.

CIF file:
```
data_Sc5As3
_space_group_name_H-M_alt 'P 1'
_space_group_IT_number 1
_space_group_name_Hall 'P 1'
_cell_length_a 5.603
_cell_length_b 7.865
_cell_length_c 7.865
_cell_angle_alpha 120.00
_cell_angle_beta 90.00
_cell_angle_gamma 90.00
loop_
_atom_site_label
_atom_site_type_symbol
_atom_site_fract_x
_atom_site_fract_y
_atom_site_fract_z
Sc1 Sc 0.500 0.667 0.333
Sc2 Sc 0.250 0.751 0.000
Sc3 Sc 0.750 0.751 0.751
Sc4 Sc 0.750 0.249 0.000
Sc5 Sc 0.500 0.333 0.667
Sc6 Sc 0.250 0.000 0.751
Sc7 Sc 0.000 0.333 0.667
Sc8 Sc 0.750 0.000 0.249
Sc9 Sc 0.000 0.667 0.333
Sc10 Sc 0.250 0.249 0.249
As1 As 0.750 0.614 0.000
As2 As 0.250 0.386 0.000
As3 As 0.250 0.614 0.614
As4 As 0.250 0.000 0.386
As5 As 0.750 0.000 0.614
As6 As 0.750 0.386 0.386
```

Here is a relaxed As2PbSe2 crystal from Alexandria. Energies are from GGA-PBEsol.

As for the crystal system: tetragonal. Its symmetry is I4/mmm (139). The calculation puts the formation energy from raw total energies at 1.603 kcal/mol of atoms. The density of states at the Fermi level is 2.1 states/eV per cell.

CIF file:
```
data_As2PbSe2
_space_group_name_H-M_alt 'P 1'
_space_group_IT_number 1
_space_group_name_Hall 'P 1'
_cell_length_a 3.761
_cell_length_b 3.761
_cell_length_c 8.507
_cell_angle_alpha 102.77
_cell_angle_beta 102.77
_cell_angle_gamma 90.00
loop_
_atom_site_label
_atom_site_type_symbol
_atom_site_fract_x
_atom_site_fract_y
_atom_site_fract_z
Se1 Se 0.396 0.396 0.792
Se2 Se 0.604 0.604 0.208
As1 As 0.250 0.750 0.500
As2 As 0.750 0.250 0.500
Pb1 Pb 0.000 0.000 0.000
```

Here is a relaxed MgMn2Cr crystal from Alexandria. Energies are from GGA-PBEsol.

As for the crystal system: monoclinic. As for the energy relative to the elements: 1.7 eV per formula unit. Its symmetry is Pm (6). The density of states at the Fermi level is 3.8 states/eV per cell.

CIF file:
```
data_MgMn2Cr
_space_group_name_H-M_alt 'P 1'
_space_group_IT_number 1
_space_group_name_Hall 'P 1'
_cell_length_a 2.533
_cell_length_b 4.011
_cell_length_c 5.038
_cell_angle_alpha 90.00
_cell_angle_beta 102.47
_cell_angle_gamma 90.00
loop_
_atom_site_label
_atom_site_type_symbol
_atom_site_fract_x
_atom_site_fract_y
_atom_site_fract_z
Mn1 Mn 0.009 0.000 0.021
Mn2 Mn 0.705 0.500 0.264
Mg1 Mg 0.277 0.500 0.754
Cr1 Cr 0.508 0.000 0.461
```

Here is a relaxed Zr5Au3 crystal from Alexandria. Energies are from GGA-PBEsol.

As for the crystal system: tetragonal. As for the energy relative to the elements: -3.6 eV per formula unit. For the relative energy among the computed polymorphs, the calculation gives 11 meV/atom. Its symmetry is I4/mcm (140). The density of states at the Fermi level is 19.4 states/eV per cell.

CIF file:
```
data_Zr5Au3
_space_group_name_H-M_alt 'P 1'
_space_group_IT_number 1
_space_group_name_Hall 'P 1'
_cell_length_a 5.342
_cell_length_b 8.178
_cell_length_c 8.178
_cell_angle_alpha 83.88
_cell_angle_beta 70.94
_cell_angle_gamma 70.94
loop_
_atom_site_label
_atom_site_type_symbol
_atom_site_fract_x
_atom_site_fract_y
_atom_site_fract_z
Zr1 Zr 0.420 0.860 0.300
Zr2 Zr 0.280 0.300 0.140
Zr3 Zr 0.220 0.860 0.700
Zr4 Zr 0.780 0.140 0.300
Zr5 Zr 0.250 0.500 0.500
Zr6 Zr 0.580 0.140 0.700
Zr7 Zr 0.750 0.500 0.500
Zr8 Zr 0.920 0.300 0.860
Zr9 Zr 0.720 0.700 0.860
Zr10 Zr 0.080 0.700 0.140
Au1 Au 0.250 0.000 0.000
Au2 Au 0.336 0.500 0.828
Au3 Au 0.164 0.172 0.500
Au4 Au 0.836 0.828 0.500
Au5 Au 0.664 0.500 0.172
Au6 Au 0.750 0.000 0.000
```

The following total moment values (in μB/f.u.) correspond, in order, to the records above: 3.20, 0.00, 2.32, 0.00, 0.38, 0.00, 0.00, 0.00, 0.00, 0.00, 0.00, 2.19, 0.00.